Version 1
# BC3

BC3 after structural relaxation (PBE, the Alexandria database).

Cell and atoms, written as POSCAR:
```
BC3
1.0
5.933 -1.247 0.000
5.933 1.247 0.000
-1.122 0.000 5.026
B C
3 9
Direct
0.000 0.000 0.000
0.007 0.007 0.500
0.399 0.399 0.449
0.091 0.091 0.798
0.092 0.092 0.292
0.322 0.322 0.669
0.323 0.323 0.151
0.398 0.398 0.947
0.664 0.664 0.832
0.667 0.667 0.331
0.745 0.745 0.624
0.746 0.746 0.119
```

Properties
Space-group type = No. 8



Version 2
# BC3

BC3 after structural relaxation (PBE, the Alexandria database).

Cell and atoms, written as POSCAR:
```
BC3
1.0
2.519 0.000 0.000
0.000 2.528 0.000
0.000 0.000 11.632
B C
3 9
Direct
0.000 0.000 0.000
0.000 0.000 0.332
0.000 0.500 0.741
0.000 0.000 0.651
0.000 0.500 0.089
0.000 0.500 0.423
0.500 0.000 0.241
0.500 0.000 0.578
0.500 0.000 0.905
0.500 0.500 0.165
0.500 0.500 0.496
0.500 0.500 0.835
```

Properties
Space-group type = No. 25



Short version: version 1 is the least stable of them.



Version 1
# BC2

BC2 after structural relaxation (PBE, the Alexandria database).

Cell and atoms, written as POSCAR:
```
BC2
1.0
2.585 0.000 0.000
-1.293 2.239 0.000
0.000 0.000 6.611
B C
2 4
Direct
0.000 0.000 0.000
0.333 0.667 0.342
0.000 0.000 0.755
0.333 0.667 0.104
0.667 0.333 0.447
0.667 0.333 0.675
```

Properties
Space-group type = No. 156



Version 2
# BC2

BC2 after structural relaxation (PBE, the Alexandria database).

Cell and atoms, written as POSCAR:
```
BC2
1.0
6.750 -1.280 0.000
6.750 1.280 0.000
-1.365 0.000 4.456
B C
4 8
Direct
0.000 0.000 0.000
0.334 0.334 0.721
0.391 0.391 0.356
0.553 0.553 0.265
0.051 0.051 0.732
0.173 0.173 0.859
0.214 0.214 0.550
0.509 0.509 0.557
0.677 0.677 0.363
0.714 0.714 0.060
0.834 0.834 0.168
0.879 0.879 0.899
```

Properties
Space-group type = No. 8



Short version: version 1 is the least stable of them.



Version 1
# MgRe3

MgRe3 after structural relaxation (PBE, the Alexandria database).

Cell and atoms, written as POSCAR:
```
MgRe3
1.0
5.505 0.000 0.000
-2.753 4.767 0.000
0.000 0.000 9.308
Mg Re
4 12
Direct
0.000 0.000 0.000
0.000 0.000 0.500
0.333 0.667 0.250
0.667 0.333 0.750
0.000 0.500 0.000
0.000 0.500 0.500
0.164 0.328 0.750
0.164 0.836 0.750
0.328 0.164 0.250
0.500 0.000 0.000
0.500 0.000 0.500
0.500 0.500 0.000
0.500 0.500 0.500
0.672 0.836 0.750
0.836 0.164 0.250
0.836 0.672 0.250
```

Properties
Space-group type = No. 194



Version 2
# MgRe3

MgRe3 after structural relaxation (PBE, the Alexandria database).

Cell and atoms, written as POSCAR:
```
MgRe3
1.0
1.398 0.807 9.263
-1.398 0.807 9.263
0.000 -1.614 9.263
Mg Re
1 3
Direct
0.000 0.000 0.000
0.246 0.246 0.246
0.500 0.500 0.500
0.754 0.754 0.754
```

Properties
Space-group type = No. 166



Short version: version 1 is the least stable of them.